# SrI3F PBE-GGA optimized geometry
# E_form (uncorrected) ... -0.816 eV per atom
# Symmetry ... No. 221
# Excess energy over the best structure of this formula in the dataset ... 0.0 meV/atom
data_SrI3F
_cell_length_a 5.463
_cell_length_b 5.463
_cell_length_c 5.463
_cell_angle_alpha 90.00
_cell_angle_beta 90.00
_cell_angle_gamma 90.00
_symmetry_space_group_name_H-M 'P 1'
_symmetry_Int_Tables_number 1
_symmetry_space_group_name_Hall 'P 1'
loop_
_atom_site_label
_atom_site_fract_x
_atom_site_fract_y
_atom_site_fract_z
_atom_site_occupancy
I1 0.500 0.000 0.000 1
I2 0.000 0.000 0.500 1
I3 0.000 0.500 0.000 1
Sr1 0.500 0.500 0.500 1
F1 0.000 0.000 0.000 1

# SrIF PBE-GGA optimized geometry
# E_form (uncorrected) ... -2.439 eV per atom
# Symmetry ... No. 107
# Excess energy over the best structure of this formula in the dataset ... 413.2 meV/atom
data_SrIF
_cell_length_a 3.757
_cell_length_b 3.757
_cell_length_c 6.318
_cell_angle_alpha 107.30
_cell_angle_beta 107.30
_cell_angle_gamma 90.00
_symmetry_space_group_name_H-M 'P 1'
_symmetry_Int_Tables_number 1
_symmetry_space_group_name_Hall 'P 1'
loop_
_atom_site_label
_atom_site_fract_x
_atom_site_fract_y
_atom_site_fract_z
_atom_site_occupancy
Sr1 0.718 0.718 0.437 1
F1 0.271 0.271 0.542 1
I1 0.011 0.011 0.021 1